(1)
Computed, not measured: a relaxed CaC crystal at the PBE level of DFT.

ρ (g/cm3): 2.44
Uncorrected energy (eV/cell): -44.6
Energy of formation from the pure elements (eV per formula unit): 0.07

a = 4.030 Å, b = 6.353 Å, c = 5.531 Å
α = 90.00°, β = 90.00°, γ = 90.00°
Element x y z (fractional)
Ca  0.000  0.255  0.500
Ca  0.000  0.745  0.500
Ca  0.500  0.755  0.000
Ca  0.500  0.245  0.000
C  0.500  0.000  0.621
C  0.500  0.000  0.379
C  0.000  0.500  0.121
C  0.000  0.500  0.879

(2)
Computed, not measured: a relaxed CaC crystal at the PBE level of DFT.

ρ (g/cm3): 2.02
Uncorrected energy (eV/cell): -24.6
Energy of formation from the pure elements (eV per formula unit): 3.04

a = 6.635 Å, b = 6.635 Å, c = 3.372 Å
α = 90.00°, β = 90.00°, γ = 120.00°
Last column: magnetic moment on the atom in μB.
Element x y z (fractional)
Ca  0.500  0.000  0.000  0.09
Ca  0.000  0.500  0.000  0.09
Ca  0.500  0.500  0.000  0.09
C  0.000  0.000  0.000  0.94
C  0.333  0.667  0.500  0.59
C  0.667  0.333  0.500  0.59

(3)
Computed, not measured: a relaxed CaC crystal at the PBE level of DFT.

ρ (g/cm3): 2.41
Uncorrected energy (eV/cell): -22.3
Energy of formation from the pure elements (eV per formula unit): 0.08

a = 5.054 Å, b = 5.054 Å, c = 5.054 Å
α = 50.92°, β = 50.92°, γ = 50.92°
Element x y z (fractional)
Ca  0.754  0.754  0.754
Ca  0.246  0.246  0.246
C  0.949  0.949  0.949
C  0.051  0.051  0.051

(4)
Computed, not measured: a relaxed CaC crystal at the PBE level of DFT.

ρ (g/cm3): 2.52
Uncorrected energy (eV/cell): -26.9
Energy of formation from the pure elements (eV per formula unit): 2.25

a = 5.373 Å, b = 5.373 Å, c = 4.124 Å
α = 90.00°, β = 90.00°, γ = 120.00°
Element x y z (fractional)
Ca  0.000  0.000  0.000
Ca  0.333  0.667  0.500
Ca  0.667  0.333  0.500
C  0.500  0.000  0.000
C  0.000  0.500  0.000
C  0.500  0.500  0.000

(5)
Computed, not measured: a relaxed CaC crystal at the PBE level of DFT.

ρ (g/cm3): 2.63
Uncorrected energy (eV/cell): -21.5
Energy of formation from the pure elements (eV per formula unit): 0.49

a = 7.316 Å, b = 7.316 Å, c = 7.316 Å
α = 158.25°, β = 152.98°, γ = 34.95°
Element x y z (fractional)
Ca  0.879  0.129  0.250
Ca  0.121  0.871  0.750
C  0.475  0.725  0.250
C  0.525  0.275  0.750

(6)
Computed, not measured: a relaxed CaC3 crystal at the PBE level of DFT.

ρ (g/cm3): 1.57
Uncorrected energy (eV/cell): -52.5
Energy of formation from the pure elements (eV per formula unit): 3.42

a = 5.725 Å, b = 5.725 Å, c = 5.572 Å
α = 90.00°, β = 90.00°, γ = 118.24°
Element x y z (fractional)
Ca  0.796  0.204  0.250
Ca  0.204  0.796  0.750
C  0.951  0.049  0.750
C  0.049  0.951  0.250
C  0.945  0.297  0.750
C  0.055  0.703  0.250
C  0.703  0.055  0.750
C  0.297  0.945  0.250